Below is an optimized crystal structure of Er3InGa5, with properties calculated at the PBE level.

Unit cell a=8.333 b=8.333 c=8.333 alpha=118.99 beta=118.99 gamma=91.76
Sites, in units of the cell vectors:
Er (0.129, 0.629, 0.758)
Er (0.250, 0.250, 0.000)
Er (0.371, 0.129, 0.500)
Er (0.629, 0.871, 0.500)
Er (0.750, 0.750, 0.000)
Er (0.871, 0.371, 0.242)
In (0.250, 0.750, 0.500)
In (0.750, 0.250, 0.500)
Ga (0.000, 0.000, 0.000)
Ga (0.044, 0.158, 0.500)
Ga (0.158, 0.658, 0.115)
Ga (0.342, 0.456, 0.500)
Ga (0.456, 0.956, 0.115)
Ga (0.500, 0.500, 0.000)
Ga (0.544, 0.044, 0.885)
Ga (0.658, 0.544, 0.500)
Ga (0.842, 0.342, 0.885)
Ga (0.956, 0.842, 0.500)

Summary:
Energy of formation (meV per atom): -234
Density of states at the Fermi level (states/eV/cell): 9.621

=====

Below is an optimized crystal structure of Er4In2Ga, with properties calculated at the PBE level.

Unit cell a=8.897 b=5.152 c=8.916 alpha=90.00 beta=109.18 gamma=90.00
Sites, in units of the cell vectors:
Er (0.124, 0.000, 0.373)
Er (0.125, 0.500, 0.873)
Er (0.375, 0.000, 0.127)
Er (0.376, 0.500, 0.627)
Er (0.624, 0.500, 0.373)
Er (0.625, 0.000, 0.873)
Er (0.875, 0.500, 0.127)
Er (0.876, 0.000, 0.627)
In (0.247, 0.500, 0.242)
In (0.253, 0.000, 0.758)
In (0.747, 0.000, 0.242)
In (0.753, 0.500, 0.758)
Ga (0.000, 0.500, 0.500)
Ga (0.500, 0.000, 0.500)

Summary:
Offset from the most stable computed form (meV/atom): 0
Energy of formation (meV per atom): -309
Density of states at the Fermi level (states/eV/cell): 14.118

=====

Below is an optimized crystal structure of LiErInGa, with properties calculated at the PBE level.

Unit cell a=7.011 b=7.011 c=7.011 alpha=90.00 beta=90.00 gamma=90.00
Sites, in units of the cell vectors:
Li (0.000, 0.000, 0.000)
Li (0.000, 0.500, 0.500)
Li (0.500, 0.000, 0.500)
Li (0.500, 0.500, 0.000)
Er (0.000, 0.000, 0.500)
Er (0.000, 0.500, 0.000)
Er (0.500, 0.000, 0.000)
Er (0.500, 0.500, 0.500)
In (0.250, 0.250, 0.250)
In (0.250, 0.750, 0.750)
In (0.750, 0.250, 0.750)
In (0.750, 0.750, 0.250)
Ga (0.250, 0.250, 0.750)
Ga (0.250, 0.750, 0.250)
Ga (0.750, 0.250, 0.250)
Ga (0.750, 0.750, 0.750)

Summary:
Energy of formation (meV per atom): -390
Density of states at the Fermi level (states/eV/cell): 4.714